8
Lattice="3.993 0.000 0.000 0.000 3.993 0.000 0.000 0.000 8.350" Properties=species:S:1:pos:R:3 comment="PBE+U TlCoPO, optimized geometry" crystal_system=tetragonal mass_density_g_cm3=7.74 energy_ev_per_fu=-17.92 spacegroup="P4/nmm (129)" pbc="T T T"
Co 2.995 0.998 4.175
Co 0.998 2.995 4.175
O 2.995 0.998 0.000
O 0.998 2.995 0.000
P 2.995 2.995 3.158
P 0.998 0.998 5.192
Tl 0.998 0.998 1.125
Tl 2.995 2.995 7.225